Entry 1:
A relaxed Y3BeSi crystal. Source: Alexandria via LeMat-Bulk, functional PBE.

Results
M_tot: 0.0 μB per formula unit
formation energy without anion corrections: 137 meV per atom
energy above the most stable polymorph in this dataset: 0.0 meV/atom

Cell lengths 5.0644, 5.0644, 5.0644 Å; angles 90.00, 90.00, 90.00 degrees
With the nearest neighbours (Å) after each atom.
Space group Pm-3m (No. 221)
One atom of each set of equivalent atoms:
Y1 0.0000 0.0000 0.5000 x3  2 Be 2.53
Be1 0.0000 0.0000 0.0000 x1  6 Y 2.53
Si1 0.5000 0.5000 0.5000 x1  12 Y 3.58

***

Entry 2:
A relaxed YBeSi crystal. Source: Alexandria via LeMat-Bulk, functional PBE.

Results
M_tot: 0.0 μB per formula unit
formation energy without anion corrections: -367 meV per atom

Cell lengths 3.8823, 3.8823, 12.8617 Å; angles 90.00, 90.00, 120.00 degrees
With the nearest neighbours (Å) after each atom.
Space group R3m (No. 160, hexagonal axes)
One atom of each set of equivalent atoms:
Y1 0.0000 0.0000 0.0000 x3  4 Be 2.69-2.75
Be1 0.0000 0.0000 0.7910 x3  3 Si 2.28
Si1 0.0000 0.0000 0.4915 x3  3 Be 2.28

***

Entry 3:
A relaxed Y3BeSi3 crystal. Source: Alexandria via LeMat-Bulk, functional PBE.

Results
M_tot: 0.0 μB per formula unit
formation energy without anion corrections: -736 meV per atom

Cell lengths 3.8511, 4.1907, 17.3598 Å; angles 90.00, 90.00, 90.00 degrees
With the nearest neighbours (Å) after each atom.
Space group Imm2 (No. 44)
One atom of each set of equivalent atoms:
Y1 0.0000 0.0000 0.0000 x2  2 Be 2.90, 5 Si 2.96-3.00
Y2 0.0000 0.0000 0.3677 x2  7 Si 2.93-3.12
Y3 0.0000 0.5000 0.6823 x2  8 Si 3.03-3.28, 4 Be 3.07
Be1 0.0000 0.5000 0.1154 x2  3 Si 2.20-2.26
Si1 0.0000 0.0000 0.5476 x2  2 Be 2.26
Si2 0.0000 0.0000 0.8273 x2  2 Si 2.43
Si3 0.0000 0.5000 0.2420 x2  1 Be 2.20, 2 Si 2.43

***

Entry 4:
A relaxed YBeSi2 crystal. Source: Alexandria via LeMat-Bulk, functional PBE.

Results
M_tot: 0.0 μB per formula unit
formation energy without anion corrections: -66 meV per atom

Cell lengths 3.2700, 3.2700, 6.1936 Å; angles 90.00, 90.00, 90.00 degrees
With the nearest neighbours (Å) after each atom.
Space group P4/mmm (No. 123)
One atom of each set of equivalent atoms:
Y1 0.0000 0.0000 0.0000 x1  8 Si 3.02, 2 Be 3.10, 4 Y 3.27
Be1 0.0000 0.0000 0.5000 x1  8 Si 2.59
Si1 0.5000 0.5000 0.3132 x2  1 Si 2.31, 4 Be 2.59

***

Entry 5:
A relaxed Y2BeSi2 crystal. Source: Alexandria via LeMat-Bulk, functional PBE.

Results
M_tot: 0.0 μB per formula unit
formation energy without anion corrections: -532 meV per atom
energy above the most stable polymorph in this dataset: 144.2 meV/atom

Cell lengths 6.6971, 6.6971, 4.3297 Å; angles 90.00, 90.00, 90.00 degrees
With the nearest neighbours (Å) after each atom.
Space group P4/mbm (No. 127)
One atom of each set of equivalent atoms:
Y1 0.1766 0.3234 0.0000 x4  6 Si 2.86-2.99
Be1 0.0000 0.0000 0.5000 x2  4 Si 2.64
Si1 0.1264 0.6264 0.5000 x4  1 Si 2.39, 2 Be 2.64

***

Entry 6:
A relaxed YBeSi2 crystal. Source: Alexandria via LeMat-Bulk, functional PBE.

Results
M_tot: 0.0 μB per formula unit
formation energy without anion corrections: -92 meV per atom

Cell lengths 3.9944, 5.6293, 6.2951 Å; angles 90.00, 90.00, 90.00 degrees
With the nearest neighbours (Å) after each atom.
Space group Cmmm (No. 65)
One atom of each set of equivalent atoms:
Y1 0.0000 0.0000 0.0000 x2  4 Si 2.80
Be1 0.0000 0.0000 0.5000 x2  4 Si 2.32
Si1 0.0000 0.5000 0.3112 x4  2 Be 2.32, 1 Si 2.38

***

Entry 7:
A relaxed YBeSi2 crystal. Source: Alexandria via LeMat-Bulk, functional PBE.

Results
M_tot: 0.0 μB per formula unit
formation energy without anion corrections: -54 meV per atom

Cell lengths 5.4340, 5.4430, 8.9278 Å; angles 90.00, 90.00, 90.00 degrees
With the nearest neighbours (Å) after each atom.
Space group Fmmm (No. 69)
One atom of each set of equivalent atoms:
Y1 0.0000 0.0000 0.0000 x4  4 Be 2.72, 8 Si 2.95
Be1 0.0000 0.0000 0.5000 x4  4 Y 2.72, 8 Si 2.95
Si1 0.2500 0.2500 0.2500 x8  4 Si 2.72, 4 Be 2.95, 4 Y 2.95

***

Entry 8:
A relaxed BeZnSi2 crystal. Source: Alexandria via LeMat-Bulk, functional PBE.

Results
M_tot: 0.0 μB per formula unit
formation energy without anion corrections: 283 meV per atom
energy above the most stable polymorph in this dataset: 0.0 meV/atom

Cell lengths 4.0805, 4.0805, 14.7863 Å; angles 90.00, 90.00, 90.00 degrees
With the nearest neighbours (Å) after each atom.
Space group I-42d (No. 122)
One atom of each set of equivalent atoms:
Be1 0.0000 0.0000 0.0000 x4  4 Si 2.25
Zn1 0.0000 0.0000 0.5000 x4  4 Si 2.46
Si1 0.1899 0.2500 0.1250 x8  2 Be 2.25, 2 Zn 2.46

***

Entry 9:
A relaxed BeZnSi4 crystal. Source: Alexandria via LeMat-Bulk, functional PBE.

Results
M_tot: 0.0 μB per formula unit
formation energy without anion corrections: 637 meV per atom

Cell lengths 7.1005, 7.1005, 7.1005 Å; angles 90.00, 90.00, 90.00 degrees
With the nearest neighbours (Å) after each atom.
Space group F-43m (No. 216)
One atom of each set of equivalent atoms:
Be1 0.0000 0.0000 0.0000 x4  12 Si 2.94, 4 Zn 3.07
Zn1 0.2500 0.2500 0.2500 x4  12 Si 2.94, 4 Be 3.07
Si1 0.1254 0.1254 0.6254 x16  6 Si 2.50-2.52

***

Entry 10:
A relaxed BeZnSi2 crystal. Source: Alexandria via LeMat-Bulk, functional PBE.

Results
M_tot: 0.0 μB per formula unit
formation energy without anion corrections: 363 meV per atom
energy above the most stable polymorph in this dataset: 80.7 meV/atom

Cell lengths 2.6454, 2.6454, 7.6738 Å; angles 90.00, 90.00, 90.00 degrees
With the nearest neighbours (Å) after each atom.
Space group P4/mmm (No. 123)
One atom of each set of equivalent atoms:
Be1 0.0000 0.0000 0.0000 x1  8 Si 2.47, 4 Be 2.65
Zn1 0.0000 0.0000 0.5000 x1  4 Zn 2.65, 8 Si 2.91
Si1 0.5000 0.5000 0.2093 x2  4 Be 2.47, 4 Si 2.65

***

Entry 11:
A relaxed BeZn2Si2 crystal. Source: Alexandria via LeMat-Bulk, functional PBE.

Results
M_tot: 0.0 μB per formula unit
formation energy without anion corrections: 551 meV per atom
energy above the most stable polymorph in this dataset: 195.8 meV/atom

Cell lengths 3.9202, 3.9202, 10.5270 Å; angles 90.00, 90.00, 90.00 degrees
With the nearest neighbours (Å) after each atom.
Space group I4/mmm (No. 139)
One atom of each set of equivalent atoms:
Be1 0.0000 0.0000 0.0000 x2  8 Si 2.99, 8 Zn 3.28
Zn1 0.0000 0.5000 0.2500 x4  4 Si 2.48, 4 Zn 2.77
Si1 0.0000 0.0000 0.3936 x4  1 Si 2.24, 4 Zn 2.48

***

Entry 12:
A relaxed Be2Zn2Si crystal. Source: Alexandria via LeMat-Bulk, functional PBE.

Results
M_tot: 0.0 μB per formula unit
formation energy without anion corrections: 356 meV per atom
energy above the most stable polymorph in this dataset: 12.5 meV/atom

Cell lengths 7.2257, 7.2257, 2.4440 Å; angles 90.00, 90.00, 90.00 degrees
With the nearest neighbours (Å) after each atom.
Space group P4/mbm (No. 127)
One atom of each set of equivalent atoms:
Be1 0.1635 0.3365 0.0000 x4  6 Zn 2.39-2.49, 2 Be 2.44
Zn1 0.1352 0.6352 0.5000 x4  6 Be 2.39-2.49, 2 Zn 2.44
Si1 0.0000 0.0000 0.5000 x2  2 Si 2.44

***

Entry 13:
A relaxed BeZnSi2 crystal. Source: Alexandria via LeMat-Bulk, functional PBE.

Results
M_tot: 0.0 μB per formula unit
formation energy without anion corrections: 332 meV per atom
energy above the most stable polymorph in this dataset: 49.2 meV/atom

Cell lengths 2.4841, 3.5419, 6.3465 Å; angles 90.00, 100.19, 90.00 degrees
With the nearest neighbours (Å) after each atom.
Space group Pm (No. 6)
One atom of each set of equivalent atoms:
Be1 0.0000 0.0000 0.0000 x1  2 Be 2.48, 4 Si 2.49-2.50, 4 Zn 2.60
Zn1 0.3964 0.5000 0.7701 x1  2 Zn 2.48, 4 Be 2.60, 5 Si 2.68-2.76
Si1 0.5954 0.5000 0.1995 x1  4 Si 2.48-2.59, 4 Be 2.49-2.50, 1 Zn 2.68
Si2 0.7536 0.0000 0.5025 x1  4 Si 2.48-2.59, 4 Zn 2.71-2.76

***

Entry 14:
A relaxed BeZnSi2 crystal. Source: Alexandria via LeMat-Bulk, functional PBE.

Results
M_tot: 0.0 μB per formula unit
formation energy without anion corrections: 335 meV per atom
energy above the most stable polymorph in this dataset: 52.5 meV/atom

Cell lengths 2.6283, 2.6283, 7.5991 Å; angles 90.00, 90.00, 90.00 degrees
With the nearest neighbours (Å) after each atom.
Space group P4mm (No. 99)
One atom of each set of equivalent atoms:
Be1 0.0000 0.0000 0.0000 x1  4 Si 2.46, 4 Zn 2.52, 4 Be 2.63
Zn1 0.5000 0.5000 0.7758 x1  4 Be 2.52, 4 Zn 2.63
Si1 0.0000 0.0000 0.4827 x1  8 Si 2.63-2.78, 4 Zn 2.90
Si2 0.5000 0.5000 0.2111 x1  4 Be 2.46, 4 Si 2.63

***

Entry 15:
A relaxed BeZnSi2 crystal. Source: Alexandria via LeMat-Bulk, functional PBE.

Results
M_tot: 0.0 μB per formula unit
formation energy without anion corrections: 324 meV per atom
energy above the most stable polymorph in this dataset: 41.2 meV/atom

Cell lengths 2.5753, 2.5753, 28.8684 Å; angles 90.00, 90.00, 120.00 degrees
With the nearest neighbours (Å) after each atom.
Space group R-3m (No. 166, hexagonal axes)
One atom of each set of equivalent atoms:
Be1 0.0000 0.0000 0.0000 x3  6 Si 2.51, 6 Be 2.58
Zn1 0.0000 0.0000 0.5000 x3  6 Zn 2.58
Si1 0.0000 0.0000 0.2631 x6  3 Be 2.51, 6 Si 2.58

***

Entry 16:
A relaxed BeZn2Si2 crystal. Source: Alexandria via LeMat-Bulk, functional PBE.

Results
M_tot: 0.0 μB per formula unit
formation energy without anion corrections: 355 meV per atom
energy above the most stable polymorph in this dataset: 0.0 meV/atom

Cell lengths 5.9602, 5.9602, 4.2579 Å; angles 90.00, 90.00, 90.00 degrees
With the nearest neighbours (Å) after each atom.
Space group P4/mbm (No. 127)
One atom of each set of equivalent atoms:
Be1 0.0000 0.0000 0.0000 x2  4 Si 2.30
Zn1 0.1868 0.3132 0.5000 x4  2 Si 2.57
Si1 0.1417 0.6417 0.0000 x4  2 Be 2.30, 1 Si 2.39

***

Entry 17:
A relaxed BeZnSi crystal. Source: Alexandria via LeMat-Bulk, functional PBE.

Results
M_tot: 0.0 μB per formula unit
formation energy without anion corrections: 284 meV per atom

Cell lengths 2.6208, 2.6208, 11.1174 Å; angles 90.00, 90.00, 90.00 degrees
With the nearest neighbours (Å) after each atom.
Space group I4mm (No. 107)
One atom of each set of equivalent atoms:
Be1 0.0000 0.0000 0.0000 x2  4 Zn 2.47, 4 Si 2.51, 4 Be 2.62
Zn1 0.0000 0.0000 0.3529 x2  4 Be 2.47, 4 Zn 2.62
Si1 0.0000 0.0000 0.6516 x2  4 Be 2.51, 4 Si 2.62

***

Entry 18:
A relaxed BeZnSi2 crystal. Source: Alexandria via LeMat-Bulk, functional PBE.

Results
M_tot: 0.0 μB per formula unit
formation energy without anion corrections: 384 meV per atom
energy above the most stable polymorph in this dataset: 101.3 meV/atom

Cell lengths 2.5036, 3.7027, 5.7334 Å; angles 90.00, 90.00, 90.00 degrees
With the nearest neighbours (Å) after each atom.
Space group Pmm2 (No. 25)
One atom of each set of equivalent atoms:
Be1 0.0000 0.0000 0.0000 x1  2 Be 2.50, 4 Si 2.52, 4 Zn 2.63
Zn1 0.5000 0.5000 0.7571 x1  2 Zn 2.50, 5 Si 2.56-2.70, 4 Be 2.63
Si1 0.0000 0.0000 0.4941 x1  6 Si 2.50-2.79, 4 Zn 2.70
Si2 0.5000 0.5000 0.2031 x1  6 Si 2.50-2.79, 4 Be 2.52, 1 Zn 2.56

***

Entry 19:
A relaxed BeZnSi2 crystal. Source: Alexandria via LeMat-Bulk, functional PBE.

Results
M_tot: 0.0 μB per formula unit
formation energy without anion corrections: 429 meV per atom
energy above the most stable polymorph in this dataset: 146.2 meV/atom

Cell lengths 3.7632, 3.7632, 3.7734 Å; angles 90.00, 90.00, 90.00 degrees
With the nearest neighbours (Å) after each atom.
Space group P4/mmm (No. 123)
One atom of each set of equivalent atoms:
Be1 0.0000 0.0000 0.0000 x1  4 Zn 2.66, 8 Si 2.66
Zn1 0.5000 0.5000 0.0000 x1  4 Be 2.66, 8 Si 2.66
Si1 0.0000 0.5000 0.5000 x2  4 Si 2.66, 4 Be 2.66, 4 Zn 2.66

***

Entry 20:
A relaxed BeZnSi2 crystal. Source: Alexandria via LeMat-Bulk, functional PBE.

Results
M_tot: 0.0 μB per formula unit
formation energy without anion corrections: 445 meV per atom
energy above the most stable polymorph in this dataset: 162.8 meV/atom

Cell lengths 3.8159, 3.8159, 7.3468 Å; angles 90.00, 90.00, 90.00 degrees
With the nearest neighbours (Å) after each atom.
Space group I-4m2 (No. 119)
One atom of each set of equivalent atoms:
Be1 0.0000 0.0000 0.0000 x2  8 Si 2.65-2.70, 4 Zn 2.65
Zn1 0.0000 0.5000 0.2500 x2  4 Be 2.65, 8 Si 2.65-2.70
Si1 0.0000 0.0000 0.5000 x2  4 Si 2.65, 4 Zn 2.65, 4 Be 2.70
Si2 0.0000 0.5000 0.7500 x2  4 Be 2.65, 4 Si 2.65, 4 Zn 2.70